Record 1
# K2SrP

A relaxed K2SrP crystal (PBE, Alexandria via LeMat-Bulk).

The calculated formation energy comes out at -0.25 eV/atom. Its total moment is 0.000 Bohr magnetons per cell.

The structure in CIF format:
```
data_K2SrP
_chemical_formula_sum 'K2 Sr1 P1'
_cell_length_a 7.979
_cell_length_b 7.979
_cell_length_c 5.088
_cell_angle_alpha 90.00
_cell_angle_beta 90.00
_cell_angle_gamma 136.67
_symmetry_space_group_name_H-M 'P 1'
_symmetry_Int_Tables_number 1
loop_
_symmetry_equiv_pos_as_xyz
'x,y,z'
loop_
_atom_site_label
_atom_site_type_symbol
_atom_site_fract_x
_atom_site_fract_y
_atom_site_fract_z
K1 K 0.132 0.868 0.000
K2 K 0.868 0.132 0.000
Sr1 Sr 0.500 0.500 0.500
P1 P 0.000 0.000 0.500
```

Record 2
# BaMnP2Cl

A relaxed BaMnP2Cl crystal (PBE, Alexandria via LeMat-Bulk).

The uncorrected formation energy comes out at -16.6 kcal/mol of atoms. As for the energy above the most stable polymorph in this dataset: 0 meV/atom. Its total moment is 3.612 Bohr magnetons per cell.

The structure in CIF format:
```
data_BaMnP2Cl
_chemical_formula_sum 'Ba1 Mn1 P2 Cl1'
_cell_length_a 4.522
_cell_length_b 4.522
_cell_length_c 5.807
_cell_angle_alpha 90.00
_cell_angle_beta 90.00
_cell_angle_gamma 90.00
_symmetry_space_group_name_H-M 'P 1'
_symmetry_Int_Tables_number 1
loop_
_symmetry_equiv_pos_as_xyz
'x,y,z'
loop_
_atom_site_label
_atom_site_type_symbol
_atom_site_fract_x
_atom_site_fract_y
_atom_site_fract_z
Ba1 Ba 0.000 0.000 0.000
Mn1 Mn 0.500 0.500 0.500
P1 P 0.000 0.500 0.500
P2 P 0.500 0.000 0.500
Cl1 Cl 0.500 0.500 0.000
```

Record 3
# Ca3Co2H7

A relaxed Ca3Co2H7 crystal (PBE, Alexandria via LeMat-Bulk).

Its total energy is -4.05 eV per atom. Its total moment is 0.754 Bohr magnetons per cell.

The structure in CIF format:
```
data_Ca3Co2H7
_chemical_formula_sum 'Ca3 Co2 H7'
_cell_length_a 10.610
_cell_length_b 10.610
_cell_length_c 10.610
_cell_angle_alpha 161.08
_cell_angle_beta 161.08
_cell_angle_gamma 26.88
_symmetry_space_group_name_H-M 'P 1'
_symmetry_Int_Tables_number 1
loop_
_symmetry_equiv_pos_as_xyz
'x,y,z'
loop_
_atom_site_label
_atom_site_type_symbol
_atom_site_fract_x
_atom_site_fract_y
_atom_site_fract_z
Ca1 Ca 0.000 0.000 0.000
Ca2 Ca 0.167 0.167 0.000
Ca3 Ca 0.833 0.833 0.000
Co1 Co 0.415 0.415 0.000
Co2 Co 0.585 0.585 0.000
H1 H 0.085 0.585 0.500
H2 H 0.336 0.336 0.000
H3 H 0.415 0.915 0.500
H4 H 0.500 0.500 0.000
H5 H 0.585 0.085 0.500
H6 H 0.664 0.664 0.000
H7 H 0.915 0.415 0.500
```

Record 4
# Sc3Al5Te12

A relaxed Sc3Al5Te12 crystal (PBE, Alexandria via LeMat-Bulk).

The uncorrected formation energy comes out at -13.7 kcal/mol of atoms. Its total moment is 0.000 Bohr magnetons per cell.

The structure in CIF format:
```
data_Sc3Al5Te12
_chemical_formula_sum 'Sc12 Al20 Te48'
_cell_length_a 14.604
_cell_length_b 14.604
_cell_length_c 14.604
_cell_angle_alpha 109.47
_cell_angle_beta 109.47
_cell_angle_gamma 109.47
_symmetry_space_group_name_H-M 'P 1'
_symmetry_Int_Tables_number 1
loop_
_symmetry_equiv_pos_as_xyz
'x,y,z'
loop_
_atom_site_label
_atom_site_type_symbol
_atom_site_fract_x
_atom_site_fract_y
_atom_site_fract_z
Sc1 Sc 0.125 0.250 0.375
Sc2 Sc 0.125 0.375 0.750
Sc3 Sc 0.250 0.375 0.125
Sc4 Sc 0.250 0.875 0.625
Sc5 Sc 0.375 0.125 0.250
Sc6 Sc 0.375 0.750 0.125
Sc7 Sc 0.625 0.250 0.875
Sc8 Sc 0.625 0.875 0.750
Sc9 Sc 0.750 0.125 0.375
Sc10 Sc 0.750 0.625 0.875
Sc11 Sc 0.875 0.625 0.250
Sc12 Sc 0.875 0.750 0.625
Al1 Al 0.000 0.000 0.000
Al2 Al 0.000 0.000 0.500
Al3 Al 0.000 0.500 0.000
Al4 Al 0.000 0.500 0.500
Al5 Al 0.125 0.750 0.875
Al6 Al 0.125 0.875 0.250
Al7 Al 0.250 0.125 0.875
Al8 Al 0.250 0.625 0.375
Al9 Al 0.375 0.250 0.625
Al10 Al 0.375 0.625 0.750
Al11 Al 0.500 0.000 0.000
Al12 Al 0.500 0.000 0.500
Al13 Al 0.500 0.500 0.000
Al14 Al 0.500 0.500 0.500
Al15 Al 0.625 0.375 0.250
Al16 Al 0.625 0.750 0.375
Al17 Al 0.750 0.375 0.625
Al18 Al 0.750 0.875 0.125
Al19 Al 0.875 0.125 0.750
Al20 Al 0.875 0.250 0.125
Te1 Te 0.040 0.215 0.128
Te2 Te 0.040 0.325 0.912
Te3 Te 0.087 0.715 0.675
Te4 Te 0.087 0.872 0.412
Te5 Te 0.088 0.628 0.413
Te6 Te 0.088 0.960 0.675
Te7 Te 0.128 0.040 0.215
Te8 Te 0.128 0.588 0.913
Te9 Te 0.175 0.215 0.587
Te10 Te 0.175 0.460 0.588
Te11 Te 0.215 0.128 0.040
Te12 Te 0.215 0.587 0.175
Te13 Te 0.285 0.325 0.913
Te14 Te 0.285 0.460 0.372
Te15 Te 0.325 0.912 0.040
Te16 Te 0.325 0.913 0.285
Te17 Te 0.372 0.285 0.460
Te18 Te 0.372 0.587 0.912
Te19 Te 0.412 0.087 0.872
Te20 Te 0.412 0.825 0.540
Te21 Te 0.413 0.088 0.628
Te22 Te 0.413 0.825 0.785
Te23 Te 0.460 0.372 0.285
Te24 Te 0.460 0.588 0.175
Te25 Te 0.540 0.412 0.825
Te26 Te 0.540 0.628 0.715
Te27 Te 0.587 0.175 0.215
Te28 Te 0.587 0.912 0.372
Te29 Te 0.588 0.175 0.460
Te30 Te 0.588 0.913 0.128
Te31 Te 0.628 0.413 0.088
Te32 Te 0.628 0.715 0.540
Te33 Te 0.675 0.087 0.715
Te34 Te 0.675 0.088 0.960
Te35 Te 0.715 0.540 0.628
Te36 Te 0.715 0.675 0.087
Te37 Te 0.785 0.413 0.825
Te38 Te 0.785 0.872 0.960
Te39 Te 0.825 0.540 0.412
Te40 Te 0.825 0.785 0.413
Te41 Te 0.872 0.412 0.087
Te42 Te 0.872 0.960 0.785
Te43 Te 0.912 0.040 0.325
Te44 Te 0.912 0.372 0.587
Te45 Te 0.913 0.128 0.588
Te46 Te 0.913 0.285 0.325
Te47 Te 0.960 0.675 0.088
Te48 Te 0.960 0.785 0.872
```